Record 1
A geometry-optimized ZnSn2OsRh structure, computed with PBEsol.

Cell and atoms, written as POSCAR:
```
ZnSn2OsRh
1.0
4.707 0.000 0.000
0.000 4.977 0.000
0.000 0.000 4.977
Os Rh Zn Sn
1 1 1 2
Cartesian
2.353 0.000 0.000
0.000 0.000 0.000
2.353 2.488 2.488
0.000 2.488 0.000
0.000 0.000 2.488
```

Computed properties:
Energy of formation = 1.071 eV per atom
Size of the total moment = 0.00 μB per formula unit


Record 2
A geometry-optimized YTa2B structure, computed with PBEsol.

Cell and atoms, written as POSCAR:
```
YTa2B
1.0
-0.903 5.899 -2.283
-3.607 -2.128 4.868
0.838 2.398 5.863
Y B Ta
2 2 4
Cartesian
-1.852 5.158 5.118
0.000 0.000 0.000
-1.820 1.010 3.329
-0.032 4.148 1.790
-1.338 5.640 1.692
-2.772 1.791 4.886
-0.965 2.467 2.285
-2.268 2.438 8.031
```

Computed properties:
Energy of formation = 1.042 eV per atom
Size of the total moment = 0.00 μB per formula unit


Record 3
A geometry-optimized ZrTaPt2Au structure, computed with PBEsol.

Cell and atoms, written as POSCAR:
```
ZrTaPt2Au
1.0
-1.230 4.586 -0.256
-4.501 -1.256 -0.877
-0.943 0.016 4.816
Pt Zr Ta Au
2 1 1 1
Cartesian
-0.615 2.293 -0.128
-2.251 -0.628 -0.438
0.000 0.000 0.000
-3.337 1.673 1.842
-0.471 0.008 2.408
```

Computed properties:
Energy of formation = 1.241 eV per atom
Size of the total moment = 1.17 μB per formula unit


Record 4
A geometry-optimized TcPt2Br structure, computed with PBEsol.

Cell and atoms, written as POSCAR:
```
TcPt2Br
1.0
2.908 0.000 0.000
0.000 3.528 0.000
0.000 0.000 6.791
Tc Pt Br
1 2 1
Cartesian
1.454 0.000 3.760
1.454 0.000 6.424
0.000 1.764 4.963
1.454 1.764 1.831
```

Computed properties:
Energy relative to the lowest polymorph listed for this composition = 0 meV per atom
Formation energy from raw total energies = 0.301 eV per atom
Size of the total moment = 0.00 μB per formula unit


Number 1: Fermi-level density of states 0.95 states/eV/atom. Number 2: Fermi-level density of states 1.09 states/eV/atom. Number 3: Fermi-level density of states 0.82 states/eV/atom. Number 4: Fermi-level density of states 0.84 states/eV/atom.